The following is a DFT calculation (GGA+U) of a relaxed structure of CrPdF2.

Calculated values
* magnetization: 3.967 Bohr magnetons per cell
* space-group type: Fm-3m (225)
* ΔE to the lowest computed polymorph: 1.49 eV per formula unit

Unit cell a=4.182 b=4.182 c=4.182 alpha=60.00 beta=60.00 gamma=60.00
Atoms (fractional coordinates):
Cr  0.000  0.000  0.000
Pd  0.500  0.500  0.500
F  0.250  0.250  0.250
F  0.750  0.750  0.750